Compound: Na5B8C2
Source: Alexandria via LeMat-Bulk
Functional: PBE
Structure: relaxed

Fermi-level density of states = 8.07 states/eV per cell
energy relative to the lowest polymorph listed for this composition = 21 meV per atom
electronic total energy = -0.185 Ha/atom
energy relative to the elements = 0.192 eV per atom

Unit cell a=8.617 b=13.216 c=13.216 alpha=12.36 beta=90.00 gamma=90.00
Atoms (fractional coordinates):
Na  0.247  0.000  0.000
Na  0.247  0.199  0.199
Na  0.247  0.400  0.400
Na  0.249  0.599  0.599
Na  0.249  0.800  0.800
Na  0.751  0.599  0.599
Na  0.751  0.800  0.800
Na  0.753  0.000  0.000
Na  0.753  0.199  0.199
Na  0.753  0.400  0.400
B  0.000  0.126  0.126
B  0.000  0.329  0.329
B  0.000  0.533  0.533
B  0.000  0.666  0.666
B  0.000  0.736  0.736
B  0.000  0.869  0.869
B  0.000  0.939  0.939
B  0.500  0.062  0.062
B  0.500  0.128  0.128
B  0.500  0.268  0.268
B  0.500  0.331  0.331
B  0.500  0.474  0.474
B  0.500  0.664  0.664
B  0.500  0.729  0.729
B  0.500  0.872  0.872
B  0.500  0.935  0.935
C  0.000  0.064  0.064
C  0.000  0.267  0.267
C  0.000  0.470  0.470
C  0.500  0.533  0.533